First-principles (meta-GGA SCAN) data for a crystal of TcIrSe2Br relaxed with PBEsol, as listed in Alexandria.

Results
D(E_F), states/eV/atom: 0.875
Total magnetization, μB per formula unit: 2.3
ΔE_f (raw), eV/f.u.: 6.28

POSCAR file:
```
TcIrSe2Br
1.0
4.6728 0.0000 0.0000
0.0000 4.6728 0.0000
0.0000 0.0000 4.9571
Tc Ir Se Br
1 1 2 1
Direct
0.0000 0.0000 0.0000
0.5000 0.5000 0.5000
0.0000 0.5000 0.0000
0.5000 0.0000 0.0000
0.0000 0.0000 0.5000
```